The following is a GGA-PBE calculation of a relaxed structure of DyErCu2Si2, from the Open Quantum Materials Database.

```
6
Lattice="4.1409 0.0000 0.0000 -2.0705 3.5861 0.0000 0.0000 0.0000 7.4439" Properties=species:S:1:pos:R:3 pbc="T T T"
Dy 0.0000 0.0000 0.0000
Er 0.0000 0.0000 3.7219
Cu 0.0000 2.3908 5.5547
Cu 2.0705 1.1954 1.8891
Si 0.0000 2.3908 1.8739
Si 2.0705 1.1954 5.5700
```

Values from the calculation:
- ρ: 7.71 g cm⁻³
- E: -5.244 eV per atom